A plane-wave DFT calculation with PBE was carried out for MgScB after structural relaxation.

abc: 3.127 5.266 6.473
angles: 100.66 103.91 90.02
Fractional positions:
Mg  0.153  0.317  0.306
Mg  0.847  0.683  0.694
Sc  0.415  0.211  0.830
Sc  0.585  0.789  0.170
B  0.231  0.938  0.463
B  0.769  0.062  0.537

Output
ΔE_f   -0.18 eV/atom
Calculated total energy   -5.046 eV/atom
Crystal system   triclinic